An optimized crystal structure of Nb2PtWF, computed with PBE with a Hubbard U.

Cell: 4.1232 4.1232 4.8566 Å, 90.00 90.00 90.00°
Closest atoms and distances in Å follow each position.
Space group P4/mmm (No. 123)
Asymmetric unit:
1 Nb 0.0000 0.5000 0.0000 [2 per cell]  2 F 2.06
2 Pt 0.0000 0.0000 0.5000 [1 per cell]  2 F 2.43
3 W 0.5000 0.5000 0.5000 [1 per cell]  4 Pt 2.92, 8 Nb 3.19
4 F 0.0000 0.0000 0.0000 [1 per cell]  4 Nb 2.06

Summary:
The value obtained for the final energy is -6.89 eV/atom. Its density of states at the Fermi level is 0.642 states/eV/atom. As for the size of the total moment: 0.97 μB per formula unit.